Computed, not measured: a relaxed KReGeW2 crystal at the PBE level of DFT.

Unit cell a=4.787 b=4.707 c=4.787 alpha=90.00 beta=90.00 gamma=90.00
Fractional coordinates of all 5 atoms:
Ge (0.000, 0.000, 0.000)
Re (0.000, 0.500, 0.000)
W (0.000, 0.000, 0.500)
K (0.500, 0.500, 0.500)
W (0.500, 0.000, 0.000)

Properties
energy of formation = 2.10 eV/atom
SG = P4/mmm

---

Computed, not measured: a relaxed K2YReGe crystal at the PBE level of DFT.

Unit cell a=5.908 b=4.833 c=5.908 alpha=90.00 beta=90.00 gamma=90.00
Last column: magnetic moment on the atom in μB.
Fractional coordinates of all 5 atoms:
K (0.000, 0.000, 0.500)  0.00
K (0.500, 0.000, 0.000)  0.00
Re (0.000, 0.500, 0.000)  1.29
Ge (0.000, 0.000, 0.000)  -0.03
Y (0.500, 0.500, 0.500)  -0.12

Properties
energy of formation = 1.15 eV/atom
SG = P4/mmm

---

Computed, not measured: a relaxed KGe2Rh crystal at the PBE level of DFT.

Unit cell a=4.183 b=4.183 c=6.762 alpha=71.98 beta=71.98 gamma=60.00
Fractional coordinates of all 4 atoms:
Ge (0.707, 0.707, 0.879)
Ge (0.293, 0.293, 0.121)
K (0.500, 0.500, 0.500)
Rh (0.000, 0.000, 0.000)

Properties
energy of formation = -0.24 eV/atom
SG = R-3m

---

Computed, not measured: a relaxed KGe2Rh2 crystal at the PBE level of DFT.

Unit cell a=4.216 b=4.216 c=6.463 alpha=70.96 beta=70.96 gamma=90.00
Fractional coordinates of all 5 atoms:
Ge (0.359, 0.359, 0.281)
Rh (0.250, 0.750, 0.500)
K (0.000, 0.000, 0.000)
Rh (0.750, 0.250, 0.500)
Ge (0.641, 0.641, 0.719)

Properties
energy of formation = -0.46 eV/atom
excess energy over the best structure of this formula in the dataset = 0.000 eV per atom
SG = I4/mmm

---

Q: Look up the energy of formation of the fourth one.
A: -0.46 eV/atom

---

Q: Which of these has the highest energy of formation?
A: KReGeW2

---

Q: Which of these has the highest energy of formation?
A: KReGeW2

---

Q: What is the energy of formation in the second record?
A: 1.15 eV/atom